(1)
DFT (GGA+U) results for a relaxed CoMoNO2 crystal.

Cell lengths 3.891, 3.891, 3.996 Å; angles 90.00, 90.00, 90.00 degrees
Positions (direct):
Co  0.000  0.000  0.000
Mo  0.500  0.500  0.500
N  0.500  0.500  0.000
O  0.000  0.500  0.500
O  0.500  0.000  0.500

Space group: P4/mmm
Electronic total energy, eV for the cell shown: -31.35

---

(2)
DFT (GGA+U) results for a relaxed CoMoNO2 crystal.

Cell lengths 3.696, 3.696, 3.699 Å; angles 90.00, 90.00, 90.00 degrees
Positions (direct):
Co  0.000  0.000  0.000
Mo  0.500  0.500  0.500
N  0.000  0.000  0.500
O  0.000  0.500  0.000
O  0.500  0.000  0.000

Space group: P4/mmm
Electronic total energy, eV for the cell shown: -29.49

---

(3)
DFT (GGA+U) results for a relaxed CoMoN2O crystal.

Cell lengths 3.640, 3.640, 3.852 Å; angles 90.00, 90.00, 90.00 degrees
Positions (direct):
Co  0.000  0.000  0.000
Mo  0.500  0.500  0.500
N  0.000  0.500  0.000
N  0.500  0.000  0.000
O  0.000  0.000  0.500

Space group: P4/mmm
Electronic total energy, eV for the cell shown: -30.12

---

(4)
DFT (GGA+U) results for a relaxed CoMoN2O crystal.

Cell lengths 3.964, 3.964, 3.874 Å; angles 90.00, 90.00, 90.00 degrees
Positions (direct):
Co  0.000  0.000  0.000
Mo  0.500  0.500  0.500
N  0.000  0.500  0.500
N  0.500  0.000  0.500
O  0.500  0.500  0.000

Space group: P4/mmm
Electronic total energy, eV for the cell shown: -31.54